The following is a PBE+U calculation of RbPaFeO4 after structural relaxation, from Alexandria.

Cell lengths 6.813, 6.813, 6.813 Å; angles 114.62, 111.67, 102.36 degrees
Atoms (fractional coordinates):
Rb1 0.410 0.160 0.250
Rb2 0.590 0.840 0.750
Pa1 0.000 0.000 0.500
Pa2 0.000 0.500 0.000
Fe1 0.000 0.500 0.500
Fe2 0.500 0.500 0.000
O1 0.168 0.740 0.428
O2 0.188 0.260 0.928
O3 0.238 0.290 0.553
O4 0.238 0.685 0.947
O5 0.762 0.315 0.053
O6 0.762 0.710 0.447
O7 0.812 0.740 0.072
O8 0.832 0.260 0.572

Properties
- E_tot: -7.57 eV/atom
- Space-group type: Imma, No. 74